Entry 1:
Crystalline NiC3Br at its relaxed geometry, computed with PBE.

D(E_F) = 0.803 states/eV per atom
Energy above the lowest structure with this stoichiometry = 0.0000 eV/atom
Total magnetization = 1.75 μB per cell

Lattice parameters (Å, degrees): 3.901 3.901 3.901 90.00 90.00 90.00
Site moments in Bohr magnetons follow the coordinates.
Sites, in units of the cell vectors:
C: 0.000 0.500 0.000  0.34
C: 0.000 0.000 0.500  0.26
C: 0.500 0.000 0.000  0.24
Br: 0.500 0.500 0.500  -0.03
Ni: 0.000 0.000 0.000  0.26

***

Entry 2:
Crystalline Rb2TiTeSe at its relaxed geometry, computed with PBE.

D(E_F) = 0.837 states/eV per atom
Total magnetization = 2.00 μB per cell

Lattice parameters (Å, degrees): 6.447 4.931 6.447 90.00 90.00 90.00
Site moments in Bohr magnetons follow the coordinates.
Sites, in units of the cell vectors:
Te: 0.500 0.500 0.500  -0.15
Se: 0.000 0.000 0.000  -0.08
Rb: 0.000 0.000 0.500  0.01
Rb: 0.500 0.000 0.000  0.01
Ti: 0.000 0.500 0.000  1.72

***

| no. | uncorrected formation energy (eV/atom) |
| --- | --- |
| 1 | 2.602 |
| 2 | -0.404 |